Record 1
DFT (PBE-GGA) results for a relaxed LiErAgPt crystal.

## Properties
- ρ: 10.4 g cm⁻³
- Size of the total moment: 0.00 μB/cell
- Formation energy: -2.5 eV/f.u.
- E_tot: -17.850 eV/cell
- Space group: F-43m, No. 216

a b c (Å): 4.751 4.751 4.751
angles (deg): 60.00 60.00 60.00
Fractional positions:
Li: 0.750 0.750 0.750
Ag: 0.500 0.500 0.500
Pt: 0.000 0.000 0.000
Er: 0.250 0.250 0.250

***

Record 2
DFT (PBE-GGA) results for a relaxed Na2TlCd crystal.

## Properties
- ρ: 4.9 g cm⁻³
- Size of the total moment: 0.00 μB/cell
- Formation energy: 0.4 eV/f.u.
- E_tot: -5.568 eV/cell
- Space group: Immm, No. 71

a b c (Å): 7.112 7.112 7.112
angles (deg): 55.38 151.51 133.58
Fractional positions:
Na: 0.000 0.245 0.245
Na: 0.000 0.755 0.755
Tl: 0.000 0.500 0.500
Cd: 0.000 0.000 0.000